! PBE with a Hubbard U Li4Ti3V3Te2O16, relaxed; values from VASP
&SYSTEM
  ibrav = 0, nat = 28, ntyp = 5
/
ATOMIC_SPECIES
Li 6.94 Li.upf
Ti 47.87 Ti.upf
V 50.94 V.upf
Te 127.60 Te.upf
O 16.00 O.upf
ATOMIC_POSITIONS angstrom
Li -4.337 -4.414 3.262
Li -2.042 -5.631 0.906
Li 0.468 -5.995 5.258
Li 0.699 -2.546 6.615
Ti -0.902 -3.990 3.382
Ti 0.525 -5.448 8.558
Ti -2.016 -5.845 9.995
V -0.896 -3.145 9.703
V 0.174 -1.323 3.168
V -2.228 -1.699 4.525
Te -2.321 -4.613 6.782
Te -2.400 -2.040 1.267
O -1.193 -6.387 8.281
O -0.234 -5.026 10.355
O 1.419 -6.131 6.895
O -1.110 -5.726 2.535
O 2.340 -4.798 8.892
O -2.920 -2.778 6.228
O -0.384 -2.603 4.684
O -1.805 -0.722 2.687
O -1.442 -5.260 5.146
O -3.975 -5.656 6.578
O -0.122 -3.798 7.956
O -2.592 -4.183 9.353
O -0.312 -2.975 1.920
O -2.656 -3.340 3.243
O 3.487 -1.628 8.632
O 0.824 -2.044 10.136
CELL_PARAMETERS angstrom
-5.114 -0.798 2.889
-2.117 -5.658 0.771
5.135 -0.714 8.889
! **Calculated total energy**: -199.72 eV per cell